Here is Tc2TePt after structural relaxation from Alexandria. Energies are from GGA-PBEsol.

Cell lengths 2.9870, 4.6864, 4.8484 Å; angles 96.99, 107.94, 90.00 degrees
Last column: nearest neighbours and their distance in Å.
Atoms (fractional coordinates):
Tc  0.2636  0.7714  0.5271  4 Pt 2.64-2.94, 3 Te 2.68-2.94, 3 Tc 2.70-2.81
Tc  0.9944  0.9919  0.9887  5 Tc 2.70-2.99, 4 Te 2.72-2.84, 3 Pt 2.75-2.79
Pt  0.7364  0.2262  0.4728  7 Tc 2.64-2.94, 1 Te 2.65
Te  0.5057  0.5104  0.0113  1 Pt 2.65, 7 Tc 2.68-2.94

- Raw formation energy: 0.243 eV/atom
- Energy: -8.01 eV/atom
- SG: Cm (8)


Here is CrMo2As after structural relaxation from Alexandria. Energies are from GGA-PBEsol.

Cell lengths 2.9054, 2.9054, 8.1220 Å; angles 79.70, 79.70, 60.00 degrees
Last column: nearest neighbours and their distance in Å.
Atoms (fractional coordinates):
Mo  0.2538  0.2538  0.2386  3 Cr 2.53, 3 As 2.67
Mo  0.7462  0.7462  0.7614  3 Cr 2.53, 3 As 2.67
Cr  0.0000  0.0000  0.0000  6 Mo 2.53
As  0.5000  0.5000  0.5000  6 Mo 2.67, 6 As 2.91

- ΔH_f (0 K): 0.31 eV per atom
- Energy: -9.41 eV/atom
- SG: R-3m (166)


Here is ZnIr3N after structural relaxation from Alexandria. Energies are from GGA-PBEsol.

Cell lengths 4.4592, 4.4592, 4.4592 Å; angles 90.00, 90.00, 90.00 degrees
Last column: nearest neighbours and their distance in Å.
Atoms (fractional coordinates):
N  0.5000  0.5000  0.5000  12 Ir 3.15
Ir  0.0000  0.0000  0.5000  2 Zn 2.23
Ir  0.5000  0.0000  0.0000  2 Zn 2.23
Ir  0.0000  0.5000  0.0000  2 Zn 2.23
Zn  0.0000  0.0000  0.0000  6 Ir 2.23

- Raw formation energy: 3.062 eV/atom
- Energy: -4.85 eV/atom
- SG: Pm-3m (221)


Number 1: volume 64.04 Å³ per cell. Number 2: volume 58.10 Å³ per cell. Number 3: volume 88.67 Å³ per cell.